(1)
# Er2GeS | Alexandria via LeMat-Bulk | PBE-GGA | optimized geometry
# Final energy = -5.943 eV/atom
# N(E_F) = 3.164 states/eV per cell
# Formation energy from raw total energies = -5.900 eV per formula unit
data_Er2GeS
_cell_length_a 5.659
_cell_length_b 5.659
_cell_length_c 11.328
_cell_angle_alpha 90.00
_cell_angle_beta 90.00
_cell_angle_gamma 90.00
_symmetry_space_group_name_H-M 'I 41/a m d'
_symmetry_Int_Tables_number 141
loop_
_symmetry_equiv_pos_as_xyz
'x,y,z'
'-x,-y,-z'
'-y+1/4,x+3/4,z+1/4'
'y+1/4,-x+3/4,-z+1/4'
'-x+1/2,-y,z+1/2'
'x+1/2,y,-z+1/2'
'y+1/4,-x+1/4,z+3/4'
'-y+1/4,x+1/4,-z+3/4'
'x,-y,-z'
'-x,y,z'
'-y+1/4,-x+1/4,-z+3/4'
'y+1/4,x+1/4,z+3/4'
'-x+1/2,y,-z+1/2'
'x+1/2,-y,z+1/2'
'y+1/4,x+3/4,-z+1/4'
'-y+1/4,-x+3/4,z+1/4'
'x+1/2,y+1/2,z+1/2'
'-x+1/2,-y+1/2,-z+1/2'
'-y+3/4,x+1/4,z+3/4'
'y+3/4,-x+1/4,-z+3/4'
'-x,-y+1/2,z'
'x,y+1/2,-z'
'y+3/4,-x+3/4,z+1/4'
'-y+3/4,x+3/4,-z+1/4'
'x+1/2,-y+1/2,-z+1/2'
'-x+1/2,y+1/2,z+1/2'
'-y+3/4,-x+3/4,-z+1/4'
'y+3/4,x+3/4,z+1/4'
'-x,y+1/2,-z'
'x,-y+1/2,z'
'y+3/4,x+1/4,-z+3/4'
'-y+3/4,-x+1/4,z+3/4'
loop_
_atom_site_label
_atom_site_fract_x
_atom_site_fract_y
_atom_site_fract_z
Er1 0.000 0.250 0.123
Ge1 0.000 0.250 0.375
S1 0.000 0.250 0.875

=====

(2)
# ErGeS | Alexandria via LeMat-Bulk | PBE-GGA | optimized geometry
# Final energy = -5.341 eV/atom
# N(E_F) = 4.162 states/eV per cell
# Formation energy from raw total energies = -2.715 eV per formula unit
data_ErGeS
_cell_length_a 8.056
_cell_length_b 4.613
_cell_length_c 7.620
_cell_angle_alpha 90.00
_cell_angle_beta 90.90
_cell_angle_gamma 90.00
_symmetry_space_group_name_H-M 'C 1 2/m 1'
_symmetry_Int_Tables_number 12
loop_
_symmetry_equiv_pos_as_xyz
'x,y,z'
'-x,-y,-z'
'-x,y,-z'
'x,-y,z'
'x+1/2,y+1/2,z'
'-x+1/2,-y+1/2,-z'
'-x+1/2,y+1/2,-z'
'x+1/2,-y+1/2,z'
loop_
_atom_site_label
_atom_site_fract_x
_atom_site_fract_y
_atom_site_fract_z
Er1 0.004 0.000 0.218
Ge1 0.167 0.500 0.020
S1 0.163 0.500 0.691

=====

(3)
# ErGeS | Alexandria via LeMat-Bulk | PBE-GGA | optimized geometry
# Final energy = -5.756 eV/atom
# N(E_F) = 3.161 states/eV per cell
# Formation energy from raw total energies = -3.961 eV per formula unit
data_ErGeS
_cell_length_a 3.757
_cell_length_b 3.757
_cell_length_c 17.513
_cell_angle_alpha 90.00
_cell_angle_beta 90.00
_cell_angle_gamma 90.00
_symmetry_space_group_name_H-M 'I 4/m m m'
_symmetry_Int_Tables_number 139
_symmetry_space_group_name_Hall '-I 4 2'
loop_
_atom_site_label
_atom_site_fract_x
_atom_site_fract_y
_atom_site_fract_z
Er1 0.000 0.000 0.150
Ge1 0.000 0.500 0.000
S1 0.000 0.000 0.311